Entry 1
{"formula": "RbYTeN", "functional": "PBE", "state": "optimized geometry", "cell": [[-3.5289, -0.7144, 0.6016], [1.7642, -1.6784, -2.7195], [2.2705, -6.5639, 5.5239]], "species": ["Y", "N", "Rb", "Te"], "fractional_positions": [[0.3333, 0.6667, 0.9138], [0.0000, 0.0000, 0.8140], [0.6667, 0.3333, 0.5647], [0.0000, 0.0000, 0.2180]]}


Entry 2
{"formula": "RbYTeN", "functional": "PBE", "state": "optimized geometry", "cell": [[8.9435, 0.0000, 0.0306], [0.0000, 3.7485, 0.0000], [-1.5180, 0.0000, 6.1115]], "species": ["Y", "N", "Te", "Rb", "Y", "Te", "N", "Rb"], "fractional_positions": [[0.9163, 0.5000, 0.0183], [0.8186, 0.5000, 0.6500], [0.2120, 0.5000, 0.4554], [0.5634, 0.0000, 0.7337], [0.9163, 0.0000, 0.5183], [0.2120, 0.0000, 0.9554], [0.8186, 0.0000, 0.1500], [0.5634, 0.5000, 0.2337]]}


Most stable: entry 2